Record 1
First-principles (PBE) data for LaPm4Pr2Th2 after structural relaxation, as listed in Alexandria.

Structure (POSCAR):
```
LaPm4Pr2Th2
1.0
7.769 1.264 0.782
0.241 7.226 0.493
-3.285 -3.898 5.188
Pm Th Pr La
4 2 2 1
Cartesian
3.715 4.645 3.382 Pm
2.125 2.754 5.892 Pm
1.010 -0.053 3.081 Pm
2.600 1.838 0.571 Pm
-0.829 1.224 5.503 Th
5.554 3.368 0.960 Th
4.798 0.894 3.719 Pr
-0.073 3.698 2.744 Pr
0.000 0.000 0.000 La
```

Properties
DFT formation energy   0.241 eV/atom

---

Record 2
First-principles (PBE) data for La6Pm2PrTh after structural relaxation, as listed in Alexandria.

Structure (POSCAR):
```
La6Pm2PrTh
1.0
9.909 0.000 0.346
0.000 6.858 0.000
-2.701 -3.429 5.194
La Pm Th Pr
6 2 1 1
Cartesian
3.331 3.429 1.630 La
7.188 1.830 2.266 La
7.188 5.029 2.266 La
0.021 -1.599 3.274 La
3.878 0.000 3.910 La
0.021 1.599 3.274 La
5.680 3.429 4.814 Pm
1.529 0.000 0.726 Pm
0.000 3.429 0.000 Th
4.955 0.000 0.173 Pr
```

Properties
DFT formation energy   0.179 eV/atom

---

Record 3
First-principles (PBE) data for La2PmPr4Th after structural relaxation, as listed in Alexandria.

Structure (POSCAR):
```
La2PmPr4Th
1.0
-0.218 1.245 3.461
-5.936 -2.373 0.480
2.549 -11.223 4.198
Pr Th La Pm
4 1 2 1
Cartesian
-1.086 -2.177 4.638 Pr
-2.519 -10.173 3.502 Pr
-3.858 -4.021 3.165 Pr
0.253 -8.330 4.974 Pr
-1.693 -6.798 2.339 Th
2.549 -11.223 4.198 La
1.166 -4.989 3.830 La
-0.528 -11.787 6.169 Pm
```

Properties
DFT formation energy   0.032 eV/atom

---

Record 4
First-principles (PBE) data for LaPm2Pr5Th after structural relaxation, as listed in Alexandria.

Structure (POSCAR):
```
LaPm2Pr5Th
1.0
5.831 0.000 0.000
-2.916 10.322 0.000
0.000 0.000 10.728
Pr Pm La Th
10 4 2 2
Cartesian
2.916 2.377 5.635 Pr
0.000 0.325 0.255 Pr
0.000 6.050 7.546 Pr
0.000 5.710 3.405 Pr
0.000 7.945 0.271 Pr
2.916 0.417 2.583 Pr
0.000 9.905 7.947 Pr
2.916 4.611 8.769 Pr
2.916 4.272 2.182 Pr
2.916 9.997 5.619 Pr
0.000 2.390 3.423 Pm
2.916 7.931 8.787 Pm
0.000 2.373 7.859 Pm
2.916 7.949 2.495 Pm
2.916 1.808 10.179 La
0.000 8.514 4.815 La
2.916 6.218 5.505 Th
0.000 4.104 0.140 Th
```

Properties
DFT formation energy   0.150 eV/atom

---

Computed values of N(E_F) (unit: states/eV per atom) for the preceding records, in sequence: 1.40 1.97 1.79 1.40.